Record 1
Density functional theory data (PBE) for a relaxed structure of AgW2Cl.

Cell and atoms, written as CIF:
```
data_AgW2Cl
_cell_length_a 5.8112
_cell_length_b 5.8112
_cell_length_c 2.8221
_cell_angle_alpha 101.09
_cell_angle_beta 101.09
_cell_angle_gamma 125.11
_space_group_name_H-M_alt 'P 1'
_space_group_IT_number 1
_space_group_name_Hall 'P 1'
loop_
_atom_site_label
_atom_site_type_symbol
_atom_site_fract_x
_atom_site_fract_y
_atom_site_fract_z
_atom_site_occupancy
Ag1 Ag 0.0000 0.0000 0.0000 1
W1 W 0.0000 0.5000 0.0000 1
W2 W 0.5000 0.0000 0.0000 1
Cl1 Cl 0.5000 0.5000 0.0000 1
```

Values from the calculation:
Space-group type   C2/m, No. 12
Total DFT energy (no corrections)   -6.61 eV per atom
E_form (uncorrected)   1.04 eV per atom
Total moment   0.00 μB/atom

=====

Record 2
Density functional theory data (PBE) for a relaxed structure of AgW2Cl.

Cell and atoms, written as CIF:
```
data_AgW2Cl
_cell_length_a 2.7734
_cell_length_b 2.7734
_cell_length_c 8.5506
_cell_angle_alpha 90.00
_cell_angle_beta 90.00
_cell_angle_gamma 90.00
_space_group_name_H-M_alt 'P 1'
_space_group_IT_number 1
_space_group_name_Hall 'P 1'
loop_
_atom_site_label
_atom_site_type_symbol
_atom_site_fract_x
_atom_site_fract_y
_atom_site_fract_z
_atom_site_occupancy
Ag1 Ag 0.0000 0.0000 0.0000 1
W1 W 0.5000 0.5000 0.2575 1
W2 W 0.5000 0.5000 0.7425 1
Cl1 Cl 0.0000 0.0000 0.5000 1
```

Values from the calculation:
Space-group type   P4/mmm, No. 123
Total DFT energy (no corrections)   -6.56 eV per atom
E_form (uncorrected)   1.09 eV per atom
Total moment   0.00 μB/atom

=====

Record 3
Density functional theory data (PBE) for a relaxed structure of AgWCl4.

Cell and atoms, written as CIF:
```
data_AgWCl4
_cell_length_a 7.5932
_cell_length_b 7.5932
_cell_length_c 6.4053
_cell_angle_alpha 94.20
_cell_angle_beta 94.20
_cell_angle_gamma 65.50
_space_group_name_H-M_alt 'P 1'
_space_group_IT_number 1
_space_group_name_Hall 'P 1'
loop_
_atom_site_label
_atom_site_type_symbol
_atom_site_fract_x
_atom_site_fract_y
_atom_site_fract_z
_atom_site_occupancy
Ag1 Ag 0.0939 0.9061 0.7500 1
Ag2 Ag 0.9061 0.0939 0.2500 1
W1 W 0.3841 0.6159 0.2500 1
W2 W 0.6159 0.3841 0.7500 1
Cl1 Cl 0.0657 0.7175 0.3868 1
Cl2 Cl 0.2825 0.9343 0.1132 1
Cl3 Cl 0.2953 0.4922 0.9101 1
Cl4 Cl 0.4922 0.2953 0.4101 1
Cl5 Cl 0.5078 0.7047 0.5899 1
Cl6 Cl 0.7047 0.5078 0.0899 1
Cl7 Cl 0.7175 0.0657 0.8868 1
Cl8 Cl 0.9343 0.2825 0.6132 1
```

Values from the calculation:
Space-group type   C2/c, No. 15
Total DFT energy (no corrections)   -4.38 eV per atom
E_form (uncorrected)   -0.52 eV per atom
Total moment   0.50 μB/atom

=====

Record 4
Density functional theory data (PBE) for a relaxed structure of AgWCl2.

Cell and atoms, written as CIF:
```
data_AgWCl2
_cell_length_a 6.6219
_cell_length_b 6.6219
_cell_length_c 6.6219
_cell_angle_alpha 147.02
_cell_angle_beta 147.02
_cell_angle_gamma 47.34
_space_group_name_H-M_alt 'P 1'
_space_group_IT_number 1
_space_group_name_Hall 'P 1'
loop_
_atom_site_label
_atom_site_type_symbol
_atom_site_fract_x
_atom_site_fract_y
_atom_site_fract_z
_atom_site_occupancy
Ag1 Ag 0.0000 0.0000 0.0000 1
W1 W 0.7500 0.2500 0.5000 1
Cl1 Cl 0.2500 0.7500 0.5000 1
Cl2 Cl 0.5000 0.5000 0.0000 1
```

Values from the calculation:
Space-group type   I-4m2, No. 119
Total DFT energy (no corrections)   -3.99 eV per atom
E_form (uncorrected)   0.89 eV per atom
Total moment   1.05 μB/atom

=====

Record 5
Density functional theory data (PBE) for a relaxed structure of AgWCl2.

Cell and atoms, written as CIF:
```
data_AgWCl2
_cell_length_a 8.9641
_cell_length_b 8.9641
_cell_length_c 8.9641
_cell_angle_alpha 20.32
_cell_angle_beta 20.32
_cell_angle_gamma 20.32
_space_group_name_H-M_alt 'P 1'
_space_group_IT_number 1
_space_group_name_Hall 'P 1'
loop_
_atom_site_label
_atom_site_type_symbol
_atom_site_fract_x
_atom_site_fract_y
_atom_site_fract_z
_atom_site_occupancy
Ag1 Ag 0.0000 0.0000 0.0000 1
W1 W 0.2498 0.2498 0.2498 1
Cl1 Cl 0.5213 0.5213 0.5213 1
Cl2 Cl 0.7375 0.7375 0.7375 1
```

Values from the calculation:
Space-group type   R3m, No. 160
Total DFT energy (no corrections)   -4.78 eV per atom
E_form (uncorrected)   0.09 eV per atom
Total moment   0.00 μB/atom

=====

Record 6
Density functional theory data (PBE) for a relaxed structure of AgWCl2.

Cell and atoms, written as CIF:
```
data_AgWCl2
_cell_length_a 3.1761
_cell_length_b 3.1761
_cell_length_c 11.2118
_cell_angle_alpha 90.00
_cell_angle_beta 90.00
_cell_angle_gamma 125.44
_space_group_name_H-M_alt 'P 1'
_space_group_IT_number 1
_space_group_name_Hall 'P 1'
loop_
_atom_site_label
_atom_site_type_symbol
_atom_site_fract_x
_atom_site_fract_y
_atom_site_fract_z
_atom_site_occupancy
Ag1 Ag 0.0000 0.0000 0.0000 1
W1 W 0.0000 0.0000 0.5000 1
Cl1 Cl 0.5000 0.5000 0.3257 1
Cl2 Cl 0.5000 0.5000 0.6743 1
```

Values from the calculation:
Space-group type   Cmmm, No. 65
Total DFT energy (no corrections)   -4.72 eV per atom
E_form (uncorrected)   0.16 eV per atom
Total moment   0.24 μB/atom

=====

Record 7
Density functional theory data (PBE) for a relaxed structure of AgWCl.

Cell and atoms, written as CIF:
```
data_AgWCl
_cell_length_a 4.2689
_cell_length_b 4.2689
_cell_length_c 4.2689
_cell_angle_alpha 60.00
_cell_angle_beta 60.00
_cell_angle_gamma 60.00
_space_group_name_H-M_alt 'P 1'
_space_group_IT_number 1
_space_group_name_Hall 'P 1'
loop_
_atom_site_label
_atom_site_type_symbol
_atom_site_fract_x
_atom_site_fract_y
_atom_site_fract_z
_atom_site_occupancy
Ag1 Ag 0.0000 0.0000 0.0000 1
W1 W 0.5000 0.5000 0.5000 1
Cl1 Cl 0.2500 0.2500 0.2500 1
```

Values from the calculation:
Space-group type   F-43m, No. 216
Total DFT energy (no corrections)   -4.17 eV per atom
E_form (uncorrected)   1.71 eV per atom
Total moment   0.00 μB/atom

=====

Record 8
Density functional theory data (PBE) for a relaxed structure of AgW2Cl.

Cell and atoms, written as CIF:
```
data_AgW2Cl
_cell_length_a 9.1847
_cell_length_b 9.1847
_cell_length_c 9.1847
_cell_angle_alpha 18.03
_cell_angle_beta 18.03
_cell_angle_gamma 18.03
_space_group_name_H-M_alt 'P 1'
_space_group_IT_number 1
_space_group_name_Hall 'P 1'
loop_
_atom_site_label
_atom_site_type_symbol
_atom_site_fract_x
_atom_site_fract_y
_atom_site_fract_z
_atom_site_occupancy
Ag1 Ag 0.0000 0.0000 0.0000 1
W1 W 0.2447 0.2447 0.2447 1
W2 W 0.7553 0.7553 0.7553 1
Cl1 Cl 0.5000 0.5000 0.5000 1
```

Values from the calculation:
Space-group type   R-3m, No. 166
Total DFT energy (no corrections)   -6.88 eV per atom
E_form (uncorrected)   0.77 eV per atom
Total moment   0.00 μB/atom

=====

Record 9
Density functional theory data (PBE) for a relaxed structure of AgWCl.

Cell and atoms, written as CIF:
```
data_AgWCl
_cell_length_a 7.0416
_cell_length_b 7.0416
_cell_length_c 7.0416
_cell_angle_alpha 156.06
_cell_angle_beta 156.06
_cell_angle_gamma 34.12
_space_group_name_H-M_alt 'P 1'
_space_group_IT_number 1
_space_group_name_Hall 'P 1'
loop_
_atom_site_label
_atom_site_type_symbol
_atom_site_fract_x
_atom_site_fract_y
_atom_site_fract_z
_atom_site_occupancy
Ag1 Ag 0.0000 0.0000 0.0000 1
W1 W 0.3555 0.3555 0.0000 1
Cl1 Cl 0.7353 0.7353 0.0000 1
```

Values from the calculation:
Space-group type   I4mm, No. 107
Total DFT energy (no corrections)   -5.29 eV per atom
E_form (uncorrected)   0.59 eV per atom
Total moment   0.00 μB/atom

=====

Record 10
Density functional theory data (PBE) for a relaxed structure of AgWCl4.

Cell and atoms, written as CIF:
```
data_AgWCl4
_cell_length_a 5.7928
_cell_length_b 5.7928
_cell_length_c 5.7928
_cell_angle_alpha 60.00
_cell_angle_beta 60.00
_cell_angle_gamma 60.00
_space_group_name_H-M_alt 'P 1'
_space_group_IT_number 1
_space_group_name_Hall 'P 1'
loop_
_atom_site_label
_atom_site_type_symbol
_atom_site_fract_x
_atom_site_fract_y
_atom_site_fract_z
_atom_site_occupancy
Ag1 Ag 0.0000 0.0000 0.0000 1
W1 W 0.2500 0.2500 0.2500 1
Cl1 Cl 0.1252 0.6249 0.6249 1
Cl2 Cl 0.6249 0.1252 0.6249 1
Cl3 Cl 0.6249 0.6249 0.1252 1
Cl4 Cl 0.6249 0.6249 0.6249 1
```

Values from the calculation:
Space-group type   F-43m, No. 216
Total DFT energy (no corrections)   -2.54 eV per atom
E_form (uncorrected)   1.33 eV per atom
Total moment   0.47 μB/atom

=====

Record 11
Density functional theory data (PBE) for a relaxed structure of AgW2Cl.

Cell and atoms, written as CIF:
```
data_AgW2Cl
_cell_length_a 4.4866
_cell_length_b 4.4866
_cell_length_c 4.4866
_cell_angle_alpha 60.00
_cell_angle_beta 60.00
_cell_angle_gamma 60.00
_space_group_name_H-M_alt 'P 1'
_space_group_IT_number 1
_space_group_name_Hall 'P 1'
loop_
_atom_site_label
_atom_site_type_symbol
_atom_site_fract_x
_atom_site_fract_y
_atom_site_fract_z
_atom_site_occupancy
Ag1 Ag 0.0000 0.0000 0.0000 1
W1 W 0.2500 0.2500 0.2500 1
W2 W 0.7500 0.7500 0.7500 1
Cl1 Cl 0.5000 0.5000 0.5000 1
```

Values from the calculation:
Space-group type   Fm-3m, No. 225
Total DFT energy (no corrections)   -6.32 eV per atom
E_form (uncorrected)   1.33 eV per atom
Total moment   0.00 μB/atom

=====

Record 12
Density functional theory data (PBE) for a relaxed structure of AgWCl2.

Cell and atoms, written as CIF:
```
data_AgWCl2
_cell_length_a 10.9724
_cell_length_b 10.9724
_cell_length_c 10.9724
_cell_angle_alpha 15.96
_cell_angle_beta 15.96
_cell_angle_gamma 15.96
_space_group_name_H-M_alt 'P 1'
_space_group_IT_number 1
_space_group_name_Hall 'P 1'
loop_
_atom_site_label
_atom_site_type_symbol
_atom_site_fract_x
_atom_site_fract_y
_atom_site_fract_z
_atom_site_occupancy
Ag1 Ag 0.0000 0.0000 0.0000 1
W1 W 0.5000 0.5000 0.5000 1
Cl1 Cl 0.1121 0.1121 0.1121 1
Cl2 Cl 0.8879 0.8879 0.8879 1
```

Values from the calculation:
Space-group type   R-3m, No. 166
Total DFT energy (no corrections)   -4.82 eV per atom
E_form (uncorrected)   0.05 eV per atom
Total moment   0.00 μB/atom